1.
# SiAs2RhBr (PBE-GGA, optimized geometry)
# D(E_F) = 5.44 states/eV/cell
# E above lowest polymorph = 268 meV/atom
# ΔE_f (raw) = 0.934 eV/atom
# raw total energy = -0.1402 hartree per atom
data_SiAs2RhBr
_cell_length_a 4.742
_cell_length_b 4.742
_cell_length_c 4.784
_cell_angle_alpha 90.00
_cell_angle_beta 90.00
_cell_angle_gamma 90.00
_space_group_name_H-M_alt 'P 4/m m m'
_space_group_IT_number 123
_space_group_name_Hall '-P 4 2'
loop_
_atom_site_label
_atom_site_type_symbol
_atom_site_fract_x
_atom_site_fract_y
_atom_site_fract_z
Si1 Si 0.000 0.000 0.000
As1 As 0.000 0.500 0.000
Rh1 Rh 0.500 0.500 0.500
Br1 Br 0.000 0.000 0.500

2.
# CaTa2Tl (PBE-GGA, optimized geometry)
# D(E_F) = 17.61 states/eV/cell
# energy of formation = 442 meV per atom
# E above lowest polymorph = 173 meV/atom
# raw total energy = -0.2417 hartree per atom
data_CaTa2Tl
_cell_length_a 3.3489
_cell_length_b 3.3489
_cell_length_c 29.4339
_cell_angle_alpha 90.00
_cell_angle_beta 90.00
_cell_angle_gamma 120.00
_space_group_name_H-M_alt 'R 3 m'
_space_group_IT_number 160
_space_group_name_Hall 'R 3 -2"'
loop_
_atom_site_label
_atom_site_type_symbol
_atom_site_fract_x
_atom_site_fract_y
_atom_site_fract_z
Ca1 Ca 0.0000 0.0000 0.0000
Ta1 Ta 0.0000 0.0000 0.2399
Ta2 Ta 0.0000 0.0000 0.5091
Tl1 Tl 0.0000 0.0000 0.7590

3.
# GaNi4Au (PBE-GGA, optimized geometry)
# D(E_F) = 18.25 states/eV/cell
# energy of formation = -107 meV per atom
# E above lowest polymorph = 0 meV/atom
# raw total energy = -0.1842 hartree per atom
data_GaNi4Au
_cell_length_a 8.212
_cell_length_b 3.626
_cell_length_c 5.331
_cell_angle_alpha 90.00
_cell_angle_beta 108.55
_cell_angle_gamma 90.00
_space_group_name_H-M_alt 'C 1 2/m 1'
_space_group_IT_number 12
_space_group_name_Hall '-C 2y'
loop_
_atom_site_label
_atom_site_type_symbol
_atom_site_fract_x
_atom_site_fract_y
_atom_site_fract_z
Ga1 Ga 0.000 0.000 0.000
Ni1 Ni 0.165 0.500 0.319
Ni2 Ni 0.174 0.500 0.844
Au1 Au 0.000 0.000 0.500

4.
# Dy7Y2Ho3 (PBE-GGA, optimized geometry)
# D(E_F) = 37.22 states/eV/cell
# energy of formation = 115 meV per atom
# E above lowest polymorph = 37 meV/atom
# raw total energy = -0.1761 hartree per atom
data_Dy7Y2Ho3
_cell_length_a 5.670
_cell_length_b 37.649
_cell_length_c 3.581
_cell_angle_alpha 90.00
_cell_angle_beta 90.00
_cell_angle_gamma 90.00
_space_group_name_H-M_alt 'C m m m'
_space_group_IT_number 65
_space_group_name_Hall '-C 2 2'
loop_
_atom_site_label
_atom_site_type_symbol
_atom_site_fract_x
_atom_site_fract_y
_atom_site_fract_z
Dy1 Dy 0.000 0.000 0.000
Dy2 Dy 0.000 0.072 0.500
Dy3 Dy 0.000 0.231 0.000
Dy4 Dy 0.000 0.408 0.000
Y1 Y 0.000 0.148 0.000
Ho1 Ho 0.000 0.315 0.500
Ho2 Ho 0.000 0.500 0.500

5.
# Ca2InBi5 (PBE-GGA, optimized geometry)
# D(E_F) = 18.48 states/eV/cell
# energy of formation = -379 meV per atom
# E above lowest polymorph = 0 meV/atom
# raw total energy = -0.1340 hartree per atom
data_Ca2InBi5
_cell_length_a 10.041
_cell_length_b 10.281
_cell_length_c 9.480
_cell_angle_alpha 90.00
_cell_angle_beta 90.00
_cell_angle_gamma 90.00
_space_group_name_H-M_alt 'F m m 2'
_space_group_IT_number 42
_space_group_name_Hall 'F 2 -2'
loop_
_atom_site_label
_atom_site_type_symbol
_atom_site_fract_x
_atom_site_fract_y
_atom_site_fract_z
Ca1 Ca 0.250 0.250 0.000
In1 In 0.000 0.000 0.499
Bi1 Bi 0.000 0.000 0.001
Bi2 Bi 0.000 0.250 0.250
Bi3 Bi 0.250 0.000 0.250

6.
# KY2Cr (PBE-GGA, optimized geometry)
# D(E_F) = 12.40 states/eV/cell
# energy of formation = 689 meV per atom
# E above lowest polymorph = 327 meV/atom
# raw total energy = -0.1919 hartree per atom
data_KY2Cr
_cell_length_a 3.526
_cell_length_b 6.072
_cell_length_c 12.088
_cell_angle_alpha 90.00
_cell_angle_beta 90.00
_cell_angle_gamma 90.00
_space_group_name_H-M_alt 'I m m m'
_space_group_IT_number 71
_space_group_name_Hall '-I 2 2'
loop_
_atom_site_label
_atom_site_type_symbol
_atom_site_fract_x
_atom_site_fract_y
_atom_site_fract_z
K1 K 0.000 0.000 0.000
Y1 Y 0.000 0.500 0.208
Cr1 Cr 0.000 0.000 0.500